<1>
DFT (PBE) results for a relaxed structure of MgOsNF2.

The structure in extended XYZ format:
```
5
Lattice="-0.3160 -1.3234 3.2308 1.7500 -2.8671 -1.0033 4.5350 2.2853 1.3796" Properties=species:S:1:pos:R:3 pbc="T T T"
Mg 0.0000 0.0000 0.0000
N 2.2675 1.1427 0.6898
Os 2.9845 -0.9526 1.8036
F 0.8750 -1.4335 -0.5017
F -0.1580 -0.6617 1.6154
```

Summary:
DOS(E_F), states/eV/cell: 2.43
Total moment, μB per cell: 3.6



<2>
DFT (PBE) results for a relaxed structure of MgOsNF2.

The structure in extended XYZ format:
```
5
Lattice="4.3349 0.0000 0.0000 0.0000 4.3349 0.0000 0.0000 0.0000 3.7637" Properties=species:S:1:pos:R:3 pbc="T T T"
Mg 2.1675 2.1675 1.8818
N 0.0000 0.0000 1.8818
Os 0.0000 0.0000 0.0000
F 0.0000 2.1675 0.0000
F 2.1675 0.0000 0.0000
```

Summary:
DOS(E_F), states/eV/cell: 1.72
Total moment, μB per cell: 0.0



Tell me which of them is the most stable. Sure, it is <2>.



<1>
DFT (PBE) results for a relaxed structure of MgPdNF2.

The structure in extended XYZ format:
```
5
Lattice="-3.0594 -0.6346 3.1147 3.1757 -0.7967 2.9570 0.1169 3.6603 0.8606" Properties=species:S:1:pos:R:3 pbc="T T T"
Mg 0.1166 1.1145 3.4661
N 0.0585 1.8302 0.4303
Pd 0.0000 0.0000 0.0000
F 1.5879 -0.3983 1.4785
F -1.5297 -0.3173 1.5573
```

Summary:
DOS(E_F), states/eV/cell: 1.52
Total moment, μB per cell: 0.0



<2>
DFT (PBE) results for a relaxed structure of MgPdNF2.

The structure in extended XYZ format:
```
5
Lattice="3.6046 0.0000 0.0000 0.0000 3.6046 0.0000 0.0000 0.0000 5.1489" Properties=species:S:1:pos:R:3 pbc="T T T"
Mg 0.0000 0.0000 0.0000
N 0.0000 0.0000 2.5745
Pd 1.8023 1.8023 2.5745
F 0.0000 1.8023 0.0000
F 1.8023 0.0000 0.0000
```

Summary:
DOS(E_F), states/eV/cell: 2.67
Total moment, μB per cell: 2.0



Tell me which of them is the most stable. Sure, it is <2>.



<1>
DFT (PBE) results for a relaxed structure of MgPdN2F.

The structure in extended XYZ format:
```
5
Lattice="3.9003 0.0000 0.0000 0.0000 3.9003 0.0000 0.0000 0.0000 4.4320" Properties=species:S:1:pos:R:3 pbc="T T T"
Mg 1.9502 1.9502 2.2160
N 0.0000 1.9502 0.0000
N 1.9502 0.0000 0.0000
Pd 0.0000 0.0000 0.0000
F 0.0000 0.0000 2.2160
```

Summary:
DOS(E_F), states/eV/cell: 3.21
Total moment, μB per cell: 1.2



<2>
DFT (PBE) results for a relaxed structure of MgPdN2F.

The structure in extended XYZ format:
```
5
Lattice="-2.2242 -2.1075 -2.6746 -0.1515 -3.1302 2.5925 -3.0471 1.3592 1.4630" Properties=species:S:1:pos:R:3 pbc="T T T"
Mg 0.0000 0.0000 0.0000
N -0.0758 -1.5651 1.2962
N -1.1121 -1.0537 -1.3373
Pd -2.7114 -1.9392 0.6905
F -1.5235 0.6796 0.7315
```

Summary:
DOS(E_F), states/eV/cell: 5.12
Total moment, μB per cell: 0.0



Tell me which of them is the most stable. Sure, it is <1>.



<1>
DFT (PBE) results for a relaxed structure of RbMgN2F.

The structure in extended XYZ format:
```
5
Lattice="-2.5098 1.6376 -3.2895 -3.6096 -1.8446 1.8357 -0.7441 4.0056 2.5619" Properties=species:S:1:pos:R:3 pbc="T T T"
Mg -3.4318 1.8993 0.5541
N -1.8048 -0.9223 0.9179
N -1.2549 0.8188 -1.6447
Rb 0.0000 0.0000 0.0000
F -0.3721 2.0028 1.2809
```

Summary:
DOS(E_F), states/eV/cell: 2.85
Total moment, μB per cell: 2.0



<2>
DFT (PBE) results for a relaxed structure of RbMgN2F.

The structure in extended XYZ format:
```
5
Lattice="4.4066 0.0000 0.0000 0.0000 4.4066 0.0000 0.0000 0.0000 4.2247" Properties=species:S:1:pos:R:3 pbc="T T T"
Mg 0.0000 0.0000 0.0000
N 0.0000 2.2033 0.0000
N 2.2033 0.0000 0.0000
Rb 2.2033 2.2033 2.1123
F 0.0000 0.0000 2.1123
```

Summary:
DOS(E_F), states/eV/cell: 1.28
Total moment, μB per cell: 4.0



Tell me which of them is the most stable. Sure, it is <2>.



<1>
DFT (PBE) results for a relaxed structure of MgReN2F.

The structure in extended XYZ format:
```
5
Lattice="-0.5883 -0.3342 3.9780 -1.5565 -3.6835 -0.5397 3.1934 -1.4014 0.3545" Properties=species:S:1:pos:R:3 pbc="T T T"
Re 0.5243 -2.7095 1.8964
Mg 0.0000 0.0000 0.0000
N -0.7783 -1.8417 -0.2698
N -0.2942 -0.1671 1.9890
F 1.5967 -0.7007 0.1773
```

Summary:
DOS(E_F), states/eV/cell: 2.06
Total moment, μB per cell: 2.0



<2>
DFT (PBE) results for a relaxed structure of MgReN2F.

The structure in extended XYZ format:
```
5
Lattice="3.8964 0.0000 0.0000 0.0000 3.8964 0.0000 0.0000 0.0000 4.1638" Properties=species:S:1:pos:R:3 pbc="T T T"
Re 0.0000 0.0000 0.0000
Mg 1.9482 1.9482 2.0819
N 0.0000 1.9482 0.0000
N 1.9482 0.0000 0.0000
F 0.0000 0.0000 2.0819
```

Summary:
DOS(E_F), states/eV/cell: 0.98
Total moment, μB per cell: 0.0



Tell me which of them is the most stable. Sure, it is <2>.



<1>
DFT (PBE) results for a relaxed structure of MgReNF2.

The structure in extended XYZ format:
```
5
Lattice="-1.9013 -1.9169 -2.2356 1.1038 -2.9309 1.5743 -4.0836 0.2243 3.2807" Properties=species:S:1:pos:R:3 pbc="T T T"
Re -2.4406 -2.3117 1.3097
Mg 0.0000 0.0000 0.0000
N -2.0418 0.1122 1.6404
F 0.5519 -1.4655 0.7872
F -0.9507 -0.9584 -1.1178
```

Summary:
DOS(E_F), states/eV/cell: 1.05
Total moment, μB per cell: 3.8



<2>
DFT (PBE) results for a relaxed structure of MgReNF2.

The structure in extended XYZ format:
```
5
Lattice="-3.2422 0.4492 -2.7743 -1.2830 -4.0051 0.8508 -2.2269 1.3113 2.8149" Properties=species:S:1:pos:R:3 pbc="T T T"
Re 0.0000 0.0000 0.0000
Mg -3.3760 -1.1222 0.4457
N -1.1134 0.6557 1.4074
F -0.6415 -2.0025 0.4254
F -1.6211 0.2246 -1.3871
```

Summary:
DOS(E_F), states/eV/cell: 3.93
Total moment, μB per cell: 0.4



Tell me which of them is the most stable. Sure, it is <2>.